Here is CsHfWO6 after structural relaxation from Alexandria via LeMat-Bulk. Energies are from PBE with a Hubbard U.

Calculated values
E_tot in eV for the cell shown: -68.54
Volume in Å³/atom: 19.46
SG: No. 5
Total magnetic moment in μB/cell: 1.03

```
data_CsHfWO6
_chemical_formula_sum 'Cs1 Hf1 W1 O6'
_symmetry_space_group_name_H-M 'P 1'
_symmetry_Int_Tables_number 1
_cell_length_a 5.628
_cell_length_b 5.536
_cell_length_c 6.457
_cell_angle_alpha 90.53
_cell_angle_beta 90.26
_cell_angle_gamma 60.54
loop_
_symmetry_equiv_pos_as_xyz
'x,y,z'
loop_
_atom_site_label
_atom_site_type_symbol
_atom_site_fract_x
_atom_site_fract_y
_atom_site_fract_z
Cs1 Cs 0.002 0.999 0.000
Hf1 Hf 0.642 0.679 0.500
W1 W 0.359 0.321 0.500
O1 O 0.015 0.393 0.354
O2 O 0.407 0.018 0.679
O3 O 0.576 0.406 0.682
O4 O 0.015 0.592 0.646
O5 O 0.407 0.575 0.321
O6 O 0.576 0.018 0.318
```